# SrTa

Crystalline SrTa at its relaxed geometry (PBE-GGA, the Alexandria database).

The space group is P4_2/mnm (No. 136) and the conventional cell measures 6.541, 6.541 and 6.621 Å, with angles of 90.00, 90.00 and 90.00 degrees. Symmetry generates all atoms from Sr at (0.172, 0.172, 0.000) and Ta at (0.125, 0.125, 0.500).

The value obtained for the total energy is -5.20 eV per atom. Its polymorph energy (0 for the lowest one) is 1.068 eV/atom. For the formation energy, the calculation gives 1.57 eV/atom.

=====

# SrTa2

Crystalline SrTa2 at its relaxed geometry (PBE-GGA, the Alexandria database).

The space group is I4/mmm (No. 139) and the conventional cell measures 2.915, 2.915 and 16.424 Å, with angles of 90.00, 90.00 and 90.00 degrees. Symmetry generates all atoms from Sr at (0.000, 0.000, 0.000) and Ta at (0.000, 0.000, 0.317).

The value obtained for the total energy is -7.64 eV per atom. Its polymorph energy (0 for the lowest one) is 0.280 eV/atom. For the formation energy, the calculation gives 0.82 eV/atom.

=====

What is the polymorph energy (0 for the lowest one) in the second record? 0.280 eV/atom